## YIn2Ru2 (PBE-GGA)

Data for a relaxed structure of YIn2Ru2.

Cell lengths 4.4135, 4.4135, 6.3283 Å; angles 69.59, 69.59, 90.00 degrees
Atoms (fractional coordinates):
Y 0.0000 0.0000 0.0000
Ru 0.3947 0.3947 0.2107
Ru 0.6053 0.6053 0.7893
In 0.7500 0.2500 0.5000
In 0.2500 0.7500 0.5000

Properties
Energy relative to the lowest polymorph listed for this composition = 0.0639 eV per atom
Energy relative to the elements = -77.9 meV/atom
SG = I4/mmm